(1)
Sr2TeAs | meta-GGA SCAN | PBEsol geometry

Results
distance to the lowest polymorph of the same formula	0.0840	eV per atom
DOS at the Fermi energy	0.341	states/eV per atom
energy relative to the elements, uncorrected	-1.28	eV/atom

Lattice parameters (Å, degrees): 3.6354 3.9704 8.1228 90.00 90.00 90.00
Space group Pmmm (No. 47)
Asymmetric unit:
Sr: 0.0000 0.0000 0.2340 [2 per cell]
Te: 0.5000 0.5000 0.5000 [1 per cell]
As: 0.5000 0.5000 0.0000 [1 per cell]

***

(2)
Sr2TeAs | meta-GGA SCAN | PBEsol geometry

Results
distance to the lowest polymorph of the same formula	0.1451	eV per atom
DOS at the Fermi energy	1.174	states/eV per atom
energy relative to the elements, uncorrected	-1.22	eV/atom

Lattice parameters (Å, degrees): 7.7920 7.7920 7.7920 90.00 90.00 90.00
Space group Fm-3m (No. 225)
Asymmetric unit:
Sr: 0.2500 0.2500 0.2500 [8 per cell]
Te: 0.0000 0.0000 0.0000 [4 per cell]
As: 0.0000 0.0000 0.5000 [4 per cell]

***

(3)
SrTe2As | meta-GGA SCAN | PBEsol geometry

Results
DOS at the Fermi energy	0.489	states/eV per atom
energy relative to the elements, uncorrected	-0.43	eV/atom

Lattice parameters (Å, degrees): 4.2825 4.2825 6.0946 90.00 90.00 90.00
Space group P4/mmm (No. 123)
Asymmetric unit:
Sr: 0.0000 0.0000 0.0000 [1 per cell]
Te: 0.5000 0.5000 0.2582 [2 per cell]
As: 0.0000 0.0000 0.5000 [1 per cell]

***

(4)
SrTe2As | meta-GGA SCAN | PBEsol geometry

Results
DOS at the Fermi energy	0.254	states/eV per atom
energy relative to the elements, uncorrected	-0.76	eV/atom

Lattice parameters (Å, degrees): 4.4516 4.4516 6.4769 90.00 90.00 90.00
Space group P4mm (No. 99)
Asymmetric unit:
Sr: 0.0000 0.0000 0.0000 [1 per cell]
Te: 0.0000 0.0000 0.5032 [1 per cell]
Te: 0.5000 0.5000 0.0673 [1 per cell]
As: 0.5000 0.5000 0.4800 [1 per cell]

***

(5)
SrTe2As | meta-GGA SCAN | PBEsol geometry

Results
DOS at the Fermi energy	0.481	states/eV per atom
energy relative to the elements, uncorrected	-0.56	eV/atom

Lattice parameters (Å, degrees): 6.8080 7.7195 4.1161 90.00 90.00 90.00
Space group Cmmm (No. 65)
Asymmetric unit:
Sr: 0.0000 0.0000 0.0000 [2 per cell]
Te: 0.2500 0.2500 0.5000 [4 per cell]
As: 0.0000 0.5000 0.0000 [2 per cell]

***

(6)
SrTe2As | meta-GGA SCAN | PBEsol geometry

Results
DOS at the Fermi energy	0.220	states/eV per atom
energy relative to the elements, uncorrected	-0.84	eV/atom

Lattice parameters (Å, degrees): 4.5546 4.7620 6.3108 90.00 110.24 90.00
Space group Pm (No. 6)
Asymmetric unit:
Sr: 0.0000 0.0000 0.0000 [1 per cell]
Te: 0.2188 0.0000 0.5594 [1 per cell]
Te: 0.5532 0.5000 0.1171 [1 per cell]
As: 0.5171 0.5000 0.6839 [1 per cell]

***

(7)
Sr4TiAs4 | meta-GGA SCAN | PBEsol geometry

Results
DOS at the Fermi energy	0.000	states/eV per atom
ΔH_f (0 K)	-1.29	eV per atom

Lattice parameters (Å, degrees): 12.7887 12.7887 12.7887 90.00 90.00 90.00
Space group P-43n (No. 218)
Asymmetric unit:
Sr: 0.0957 0.1374 0.6472 [24 per cell]
Sr: 0.1470 0.1470 0.1470 [8 per cell]
Ti: 0.0000 0.0000 0.0000 [2 per cell]
Ti: 0.0000 0.5000 0.2500 [6 per cell]
As: 0.1091 0.3843 0.6442 [24 per cell]
As: 0.1102 0.1102 0.8898 [8 per cell]

***

(8)
Sr2TlAs | meta-GGA SCAN | PBEsol geometry

Results
distance to the lowest polymorph of the same formula	0.0000	eV per atom
DOS at the Fermi energy	0.227	states/eV per atom
ΔH_f (0 K)	-0.73	eV per atom

Lattice parameters (Å, degrees): 5.0039 5.0039 9.1690 90.00 90.00 90.00
Space group I4/mmm (No. 139)
Asymmetric unit:
Sr: 0.0000 0.5000 0.2500 [4 per cell]
Tl: 0.0000 0.0000 0.0000 [2 per cell]
As: 0.0000 0.0000 0.5000 [2 per cell]

***

(9)
SrTl2As | meta-GGA SCAN | PBEsol geometry

Results
distance to the lowest polymorph of the same formula	0.2133	eV per atom
DOS at the Fermi energy	0.658	states/eV per atom
ΔH_f (0 K)	-0.33	eV per atom

Lattice parameters (Å, degrees): 7.5882 7.5882 7.5882 90.00 90.00 90.00
Space group F-43m (No. 216)
Asymmetric unit:
Sr: 0.0000 0.0000 0.0000 [4 per cell]
Tl: 0.0000 0.0000 0.5000 [4 per cell]
Tl: 0.2500 0.2500 0.2500 [4 per cell]
As: 0.2500 0.2500 0.7500 [4 per cell]

***

(10)
SrTlAs | meta-GGA SCAN | PBEsol geometry

Results
ΔH_f (0 K)	-0.78	eV per atom

Lattice parameters (Å, degrees): 4.4201 4.4201 5.2281 90.00 90.00 120.00
Space group P3m1 (No. 156)
Asymmetric unit:
Sr: 0.0000 0.0000 0.0000 [1 per cell]
Tl: 0.3333 0.6667 0.5723 [1 per cell]
As: 0.6667 0.3333 0.3177 [1 per cell]

***

(11)
Sr2TlAs | meta-GGA SCAN | PBEsol geometry

Results
distance to the lowest polymorph of the same formula	0.1003	eV per atom
DOS at the Fermi energy	0.563	states/eV per atom
ΔH_f (0 K)	-0.63	eV per atom

Lattice parameters (Å, degrees): 4.5813 4.5813 11.3297 90.00 90.00 90.00
Space group I-4m2 (No. 119)
Asymmetric unit:
Sr: 0.0000 0.0000 0.0000 [2 per cell]
Sr: 0.0000 0.5000 0.2500 [2 per cell]
Tl: 0.0000 0.0000 0.5000 [2 per cell]
As: 0.0000 0.5000 0.7500 [2 per cell]

***

(12)
SrTlAs2 | meta-GGA SCAN | PBEsol geometry

Results
DOS at the Fermi energy	0.291	states/eV per atom
ΔH_f (0 K)	-0.51	eV per atom

Lattice parameters (Å, degrees): 3.9422 4.2743 6.4765 90.00 90.00 90.00
Space group Pmmm (No. 47)
Asymmetric unit:
Sr: 0.0000 0.0000 0.0000 [1 per cell]
Tl: 0.0000 0.0000 0.5000 [1 per cell]
As: 0.5000 0.5000 0.1895 [2 per cell]

***

Number 1: magnetization 0.00 μB/f.u.. Number 2: magnetization 0.00 μB/f.u.. Number 3: magnetization 0.00 μB/f.u.. Number 4: magnetization 0.00 μB/f.u.. Number 5: magnetization 0.00 μB/f.u.. Number 6: magnetization 0.00 μB/f.u.. Number 7: magnetization 0.00 μB/f.u.. Number 8: magnetization 0.00 μB/f.u.. Number 9: magnetization 0.00 μB/f.u.. Number 10: magnetization 0.00 μB/f.u.. Number 11: magnetization 0.00 μB/f.u.. Number 12: magnetization 0.00 μB/f.u..